Record 1
{
  "formula": "SmMg11Pd",
  "functional": "PBE",
  "state": "optimized geometry",
  "lattice": [[5.194, -0.043, 2.164], [2.500, 7.185, 1.042], [-0.185, -0.021, 7.759]],
  "species": ["Sm", "Mg", "Mg", "Mg", "Mg", "Mg", "Mg", "Mg", "Mg", "Mg", "Mg", "Mg", "Pd"],
  "fractional_positions": [[0.000, 0.000, 0.000], [0.301, 0.219, 0.205], [0.699, 0.781, 0.795], [0.494, 0.781, 0.205], [0.506, 0.219, 0.795], [0.357, 0.639, 0.662], [0.643, 0.361, 0.338], [0.981, 0.361, 0.662], [0.019, 0.639, 0.338], [0.000, 0.500, 0.000], [0.500, 0.000, 0.500], [0.000, 0.000, 0.500], [0.500, 0.500, 0.000]],
  "total_energy_ev_per_cell": -29.53,
  "n_ef_per_ev_atom": 0.44,
  "vol_a3_per_cell": 293.2,
  "total_magnetization_mub_per_fu": 0.00
}

=====

Record 2
{
  "formula": "SmMgPd",
  "functional": "PBE",
  "state": "optimized geometry",
  "lattice": [[-0.084, -0.272, -3.657], [3.196, -3.394, 0.179], [-4.539, -1.059, 0.183]],
  "species": ["Mg", "Pd", "Sm"],
  "fractional_positions": [[0.167, 0.667, 0.333], [0.167, 0.000, 0.000], [0.667, 0.333, 0.667]],
  "total_energy_ev_per_cell": -12.94,
  "n_ef_per_ev_atom": 0.93,
  "vol_a3_per_cell": 69.1,
  "total_magnetization_mub_per_fu": 0.00
}

=====

Record 3
{
  "formula": "SmMgPd3",
  "functional": "PBE",
  "state": "optimized geometry",
  "lattice": [[6.745, -0.588, 0.420], [-0.406, 5.496, -0.168], [-2.717, -0.054, 5.020]],
  "species": ["Sm", "Sm", "Mg", "Mg", "Pd", "Pd", "Pd", "Pd", "Pd", "Pd"],
  "fractional_positions": [[0.230, 0.942, 0.361], [0.754, 0.360, 0.122], [0.993, 0.151, 0.742], [0.992, 0.650, 0.742], [0.287, 0.466, 0.139], [0.699, 0.837, 0.345], [0.360, 0.974, 0.927], [0.699, 0.836, 0.847], [0.287, 0.466, 0.638], [0.625, 0.327, 0.557]],
  "total_energy_ev_per_cell": -50.47,
  "n_ef_per_ev_atom": 0.36,
  "vol_a3_per_cell": 190.9,
  "total_magnetization_mub_per_fu": 0.00
}

=====

Record 4
{
  "formula": "SmMg12Pd6",
  "functional": "PBE",
  "state": "optimized geometry",
  "lattice": [[7.632, -0.039, -0.055], [-1.930, 7.384, -0.055], [-1.930, -2.486, 6.953]],
  "species": ["Sm", "Mg", "Mg", "Mg", "Mg", "Mg", "Mg", "Mg", "Mg", "Mg", "Mg", "Mg", "Mg", "Pd", "Pd", "Pd", "Pd", "Pd", "Pd"],
  "fractional_positions": [[0.000, 0.000, 0.000], [0.881, 0.119, 0.500], [0.839, 0.578, 0.578], [0.578, 0.578, 0.839], [0.422, 0.161, 0.422], [0.422, 0.422, 0.161], [0.161, 0.422, 0.422], [0.119, 0.500, 0.881], [0.500, 0.881, 0.119], [0.119, 0.881, 0.500], [0.881, 0.500, 0.119], [0.500, 0.119, 0.881], [0.578, 0.839, 0.578], [0.702, 0.261, 0.261], [0.261, 0.261, 0.702], [0.261, 0.702, 0.261], [0.739, 0.739, 0.298], [0.298, 0.739, 0.739], [0.739, 0.298, 0.739]],
  "total_energy_ev_per_cell": -62.84,
  "n_ef_per_ev_atom": 0.56,
  "vol_a3_per_cell": 389.3,
  "total_magnetization_mub_per_fu": 0.00
}

=====

Copy entry 1 word for word.
{
  "formula": "SmMg11Pd",
  "functional": "PBE",
  "state": "optimized geometry",
  "lattice": [[5.194, -0.043, 2.164], [2.500, 7.185, 1.042], [-0.185, -0.021, 7.759]],
  "species": ["Sm", "Mg", "Mg", "Mg", "Mg", "Mg", "Mg", "Mg", "Mg", "Mg", "Mg", "Mg", "Pd"],
  "fractional_positions": [[0.000, 0.000, 0.000], [0.301, 0.219, 0.205], [0.699, 0.781, 0.795], [0.494, 0.781, 0.205], [0.506, 0.219, 0.795], [0.357, 0.639, 0.662], [0.643, 0.361, 0.338], [0.981, 0.361, 0.662], [0.019, 0.639, 0.338], [0.000, 0.500, 0.000], [0.500, 0.000, 0.500], [0.000, 0.000, 0.500], [0.500, 0.500, 0.000]],
  "total_energy_ev_per_cell": -29.53,
  "n_ef_per_ev_atom": 0.44,
  "vol_a3_per_cell": 293.2,
  "total_magnetization_mub_per_fu": 0.00
}

=====

Number 4 is which compound? SmMg12Pd6